# Np2AlSiAu6

A relaxed structure of Np2AlSiAu6 (PBE, Alexandria).

Lattice parameters (Å, degrees): 5.4648 6.7210 6.7647 72.51 66.25 66.22
Closest atoms and distances in Å follow each position.
Space group P-1 (No. 2)
Inequivalent atoms, fractional coordinates:
Np  0.0073  0.2695  0.2156 (multiplicity 2)  7 Au 3.10-3.18, 2 Si 3.26
Al  0.5000  0.0000  0.5000 (multiplicity 1)  6 Au 2.53-2.69
Si  0.5000  0.5000  0.0000 (multiplicity 1)  2 Au 2.48
Au  0.0098  0.3043  0.6715 (multiplicity 2)  1 Al 2.68, 4 Au 2.71-2.99, 1 Si 2.87
Au  0.3404  0.9081  0.9133 (multiplicity 2)  1 Si 2.48, 1 Al 2.53
Au  0.4874  0.6935  0.3278 (multiplicity 2)  1 Al 2.69, 5 Au 2.71-3.01, 1 Si 2.86

- DOS at the Fermi energy: 2.27 states/eV per atom
- E_tot: -5.57 eV/atom
- Total magnetic moment: 8.740 μB/cell